# 1
VASP calculation (PBE) on a geometry-optimized MnTc2Sn2 structure.

The structure in POSCAR format:
```
MnTc2Sn2
1.0
6.422 0.000 0.000
0.000 6.422 0.000
0.000 0.000 4.230
Mn Tc Sn
2 4 4
Direct
0.000 0.000 0.000 Mn
0.500 0.500 0.000 Mn
0.139 0.361 0.000 Tc
0.361 0.861 0.000 Tc
0.639 0.139 0.000 Tc
0.861 0.639 0.000 Tc
0.173 0.673 0.500 Sn
0.327 0.173 0.500 Sn
0.673 0.827 0.500 Sn
0.827 0.327 0.500 Sn
```

The energy relative to the elements is 0.42 eV per atom.

# 2
VASP calculation (PBE) on a geometry-optimized Ba2TcSb structure.

The structure in POSCAR format:
```
Ba2TcSb
1.0
4.623 0.000 0.000
0.000 2.551 6.085
0.000 -2.551 6.085
Ba Tc Sb
2 1 1
Direct
0.000 0.000 0.000 Ba
0.500 0.282 0.282 Ba
0.500 0.593 0.593 Tc
0.000 0.697 0.697 Sb
```

The calculation puts the formation energy from raw total energies at -0.01 eV per atom.

Results for calculated volume: 17.45, 35.89 (in Å³ per atom, following the order of the records).
Results for magnetization: 0.00, 0.05 (in μB/atom, following the order of the records).